Entry from the Alexandria database: crystalline Cs3AgAs2I9 at its relaxed geometry (PBE).

The calculated total energy comes out at -39.27 eV for the cell shown. The density of states at the Fermi level comes out at 2.58 states/eV/f.u.

Unit cell a=8.391 b=8.391 c=10.262 alpha=90.00 beta=90.00 gamma=120.00
Element x y z (fractional)
1 Cs 0.000 0.000 0.000
2 Cs 0.333 0.667 0.670
3 Cs 0.667 0.333 0.330
4 Ag 0.000 0.000 0.500
5 As 0.333 0.667 0.175
6 As 0.667 0.333 0.825
7 I 0.000 0.500 0.000
8 I 0.170 0.340 0.331
9 I 0.170 0.830 0.331
10 I 0.340 0.170 0.669
11 I 0.500 0.000 0.000
12 I 0.500 0.500 0.000
13 I 0.660 0.830 0.331
14 I 0.830 0.170 0.669
15 I 0.830 0.660 0.669